No. 1
Here is an optimized crystal structure of RuPt2Pb from Alexandria. Energies are from PBE.

It has space group R-3m (No. 166, hexagonal axes), with a = 2.9467 Å, b = 2.9467 Å, c = 28.7177 Å, α = 90.00°, β = 90.00° and γ = 120.00°. The inequivalent atoms are Ru at (0.0000, 0.0000, 0.0000), Pt at (0.0000, 0.0000, 0.2597) and Pb at (0.0000, 0.0000, 0.5000).

The total moment is 0.0000 μB/atom. The calculation puts the formation energy at 351 meV per atom. As for the volume: 216.0 Å³ per cell.

---

No. 2
Here is an optimized crystal structure of Ru2PtPb from Alexandria. Energies are from PBE.

It has space group I-42d (No. 122), with a = 4.012 Å, b = 4.012 Å, c = 19.029 Å, α = 90.00°, β = 90.00° and γ = 90.00°. The inequivalent atoms are Ru at (0.169, 0.250, 0.125), Pt at (0.000, 0.000, 0.000) and Pb at (0.000, 0.000, 0.500).

The total moment is 0.0000 μB/atom. The calculation puts the formation energy at 579 meV per atom. As for the volume: 306.3 Å³ per cell.

---

No. 3
Here is an optimized crystal structure of RuPtPb4 from Alexandria. Energies are from PBE.

It has space group F-43m (No. 216), with a = 8.682 Å, b = 8.682 Å, c = 8.682 Å, α = 90.00°, β = 90.00° and γ = 90.00°. The inequivalent atoms are Ru at (0.000, 0.000, 0.000), Pt at (0.250, 0.250, 0.250) and Pb at (0.125, 0.125, 0.625).

The total moment is 0.3206 μB/atom. The calculation puts the formation energy at 1045 meV per atom. As for the volume: 654.3 Å³ per cell.